(1)
# TcHIr2 PBE optimized geometry
# Spin magnetization in μB/f.u.: 0.000
# SG: I-42d (122)
# DFT total energy in eV per atom: -7.564
# Polymorph energy (0 for the lowest one) in meV/atom: 0
data_TcHIr2
_cell_length_a 6.1730
_cell_length_b 6.1730
_cell_length_c 5.0437
_cell_angle_alpha 52.27
_cell_angle_beta 52.27
_cell_angle_gamma 90.00
_symmetry_space_group_name_H-M 'P 1'
_symmetry_Int_Tables_number 1
loop_
_symmetry_equiv_pos_as_xyz
'x,y,z'
loop_
_atom_site_label
_atom_site_fract_x
_atom_site_fract_y
_atom_site_fract_z
Ir1 0.3750 0.4739 0.7500
Ir2 0.5261 0.1250 0.2500
Ir3 0.8750 0.7761 0.7500
Ir4 0.2239 0.6250 0.2500
Tc1 0.0000 0.0000 0.0000
Tc2 0.7500 0.2500 0.5000
H1 0.2500 0.7500 0.5000
H2 0.5000 0.5000 0.0000



(2)
# TcTeHIr2 PBE optimized geometry
# Spin magnetization in μB/f.u.: 3.414
# SG: P4/mmm (123)
# DFT total energy in eV per atom: -4.606
# Polymorph energy (0 for the lowest one) in meV/atom: 1801
data_TcTeHIr2
_cell_length_a 4.8787
_cell_length_b 5.0183
_cell_length_c 4.8787
_cell_angle_alpha 90.00
_cell_angle_beta 90.00
_cell_angle_gamma 90.00
_symmetry_space_group_name_H-M 'P 1'
_symmetry_Int_Tables_number 1
loop_
_symmetry_equiv_pos_as_xyz
'x,y,z'
loop_
_atom_site_label
_atom_site_fract_x
_atom_site_fract_y
_atom_site_fract_z
Ir1 0.0000 0.0000 0.5000
Ir2 0.5000 0.0000 0.0000
Te1 0.0000 0.0000 0.0000
Tc1 0.0000 0.5000 0.0000
H1 0.5000 0.5000 0.5000